Entry 1:
# SCAN TlZn2Br, PBEsol geometry
data_TlZn2Br
_chemical_formula_sum 'Tl1 Zn2 Br1'
_symmetry_space_group_name_H-M 'P 1'
_symmetry_Int_Tables_number 1
_cell_length_a 3.482
_cell_length_b 5.564
_cell_length_c 5.705
_cell_angle_alpha 119.18
_cell_angle_beta 107.77
_cell_angle_gamma 90.00
loop_
_symmetry_equiv_pos_as_xyz
'x,y,z'
loop_
_atom_site_label
_atom_site_fract_x
_atom_site_fract_y
_atom_site_fract_z
_atom_site_occupancy
Zn1 0.736 0.236 0.471 1
Zn2 0.034 0.034 0.069 1
Tl1 0.272 0.772 0.543 1
Br1 0.458 0.458 0.917 1
# Energy relative to the elements, uncorrected in meV per atom: 30.8

Entry 2:
# SCAN Re2IrRu, PBEsol geometry
data_Re2IrRu
_chemical_formula_sum 'Re2 Ir1 Ru1'
_symmetry_space_group_name_H-M 'P 1'
_symmetry_Int_Tables_number 1
_cell_length_a 2.725
_cell_length_b 4.340
_cell_length_c 4.751
_cell_angle_alpha 90.00
_cell_angle_beta 90.00
_cell_angle_gamma 90.00
loop_
_symmetry_equiv_pos_as_xyz
'x,y,z'
loop_
_atom_site_label
_atom_site_fract_x
_atom_site_fract_y
_atom_site_fract_z
_atom_site_occupancy
Re1 0.000 0.000 0.040 1
Re2 0.000 0.500 0.708 1
Ru1 0.500 0.000 0.546 1
Ir1 0.500 0.500 0.206 1
# ΔE_f in eV/f.u.: -1.05

Entry 3:
# SCAN LiTl2Cd, PBEsol geometry
data_LiTl2Cd
_chemical_formula_sum 'Li1 Tl2 Cd1'
_symmetry_space_group_name_H-M 'P 1'
_symmetry_Int_Tables_number 1
_cell_length_a 3.358
_cell_length_b 3.358
_cell_length_c 9.635
_cell_angle_alpha 79.97
_cell_angle_beta 79.97
_cell_angle_gamma 60.00
loop_
_symmetry_equiv_pos_as_xyz
'x,y,z'
loop_
_atom_site_label
_atom_site_fract_x
_atom_site_fract_y
_atom_site_fract_z
_atom_site_occupancy
Tl1 0.254 0.254 0.236 1
Tl2 0.746 0.746 0.764 1
Cd1 0.500 0.500 0.500 1
Li1 0.000 0.000 0.000 1
# ΔE_f in eV/f.u.: -0.37

Entry 4:
# SCAN NbRhIN2, PBEsol geometry
data_NbRhIN2
_chemical_formula_sum 'Nb1 Rh1 I1 N2'
_symmetry_space_group_name_H-M 'P 1'
_symmetry_Int_Tables_number 1
_cell_length_a 3.901
_cell_length_b 3.901
_cell_length_c 5.366
_cell_angle_alpha 90.00
_cell_angle_beta 90.00
_cell_angle_gamma 90.00
loop_
_symmetry_equiv_pos_as_xyz
'x,y,z'
loop_
_atom_site_label
_atom_site_fract_x
_atom_site_fract_y
_atom_site_fract_z
_atom_site_occupancy
N1 0.500 0.000 0.000 1
N2 0.000 0.500 0.000 1
I1 0.000 0.000 0.500 1
Rh1 0.000 0.000 0.000 1
Nb1 0.500 0.500 0.500 1
# Energy relative to the elements, uncorrected in meV per atom: 1433.8

Entry 5:
# SCAN TlIn2Re, PBEsol geometry
data_TlIn2Re
_chemical_formula_sum 'Tl1 In2 Re1'
_symmetry_space_group_name_H-M 'P 1'
_symmetry_Int_Tables_number 1
_cell_length_a 4.868
_cell_length_b 4.868
_cell_length_c 4.868
_cell_angle_alpha 60.00
_cell_angle_beta 60.00
_cell_angle_gamma 60.00
loop_
_symmetry_equiv_pos_as_xyz
'x,y,z'
loop_
_atom_site_label
_atom_site_fract_x
_atom_site_fract_y
_atom_site_fract_z
_atom_site_occupancy
In1 0.000 0.000 0.000 1
In2 0.750 0.750 0.750 1
Tl1 0.250 0.250 0.250 1
Re1 0.500 0.500 0.500 1
# ΔE_f in eV/f.u.: 4.26

Entry 6:
# SCAN CaZrZn2, PBEsol geometry
data_CaZrZn2
_chemical_formula_sum 'Ca1 Zr1 Zn2'
_symmetry_space_group_name_H-M 'P 1'
_symmetry_Int_Tables_number 1
_cell_length_a 3.137
_cell_length_b 3.137
_cell_length_c 8.280
_cell_angle_alpha 90.00
_cell_angle_beta 90.00
_cell_angle_gamma 90.00
loop_
_symmetry_equiv_pos_as_xyz
'x,y,z'
loop_
_atom_site_label
_atom_site_fract_x
_atom_site_fract_y
_atom_site_fract_z
_atom_site_occupancy
Ca1 0.500 0.500 0.785 1
Zn1 0.000 0.000 0.052 1
Zn2 0.500 0.500 0.223 1
Zr1 0.000 0.000 0.440 1
# ΔE_f in eV/f.u.: -0.10

Entry 7:
# SCAN Pr2Zn5Pb, PBEsol geometry
data_Pr2Zn5Pb
_chemical_formula_sum 'Pr4 Zn10 Pb2'
_symmetry_space_group_name_H-M 'P 1'
_symmetry_Int_Tables_number 1
_cell_length_a 4.422
_cell_length_b 8.537
_cell_length_c 9.017
_cell_angle_alpha 90.00
_cell_angle_beta 90.00
_cell_angle_gamma 105.01
loop_
_symmetry_equiv_pos_as_xyz
'x,y,z'
loop_
_atom_site_label
_atom_site_fract_x
_atom_site_fract_y
_atom_site_fract_z
_atom_site_occupancy
Pr1 0.000 0.000 0.000 1
Pr2 0.206 0.411 0.750 1
Pr3 0.000 0.000 0.500 1
Pr4 0.794 0.589 0.250 1
Pb1 0.445 0.891 0.250 1
Pb2 0.555 0.109 0.750 1
Zn1 0.815 0.630 0.610 1
Zn2 0.815 0.630 0.890 1
Zn3 0.392 0.784 0.750 1
Zn4 0.340 0.681 0.014 1
Zn5 0.608 0.216 0.250 1
Zn6 0.660 0.319 0.514 1
Zn7 0.185 0.370 0.390 1
Zn8 0.660 0.319 0.986 1
Zn9 0.185 0.370 0.110 1
Zn10 0.340 0.681 0.486 1
# ΔE_f in eV/f.u.: -4.10

Entry 8:
# SCAN Li2ZrPd2, PBEsol geometry
data_Li2ZrPd2
_chemical_formula_sum 'Li4 Zr2 Pd4'
_symmetry_space_group_name_H-M 'P 1'
_symmetry_Int_Tables_number 1
_cell_length_a 2.829
_cell_length_b 7.192
_cell_length_c 7.192
_cell_angle_alpha 90.00
_cell_angle_beta 90.00
_cell_angle_gamma 90.00
loop_
_symmetry_equiv_pos_as_xyz
'x,y,z'
loop_
_atom_site_label
_atom_site_fract_x
_atom_site_fract_y
_atom_site_fract_z
_atom_site_occupancy
Li1 0.000 0.610 0.110 1
Li2 0.000 0.110 0.390 1
Li3 0.000 0.890 0.610 1
Li4 0.000 0.390 0.890 1
Pd1 0.500 0.811 0.311 1
Pd2 0.500 0.311 0.189 1
Pd3 0.500 0.689 0.811 1
Pd4 0.500 0.189 0.689 1
Zr1 0.000 0.000 0.000 1
Zr2 0.000 0.500 0.500 1
# ΔE_f in eV/f.u.: -2.28

So what do the calculations give for VASP energy? Going down the list: -29.681, -62.293, -44.472, -23.011, -51.491, -16.873, -29.263, -20.662 eV/atom.
So what do the calculations give for total moment? Going down the list: 0.00, 0.00, 0.00, 0.47, 0.00, 0.00, 0.00, 0.00 Bohr magnetons per cell.